The following is a PBE calculation of a relaxed RbNbZn crystal, from Alexandria.

Summary:
electronic total energy	-3.780	eV per atom

```
data_RbNbZn
_chemical_formula_sum 'Rb2 Nb2 Zn2'
_cell_length_a 3.653
_cell_length_b 4.169
_cell_length_c 13.079
_cell_angle_alpha 80.97
_cell_angle_beta 88.64
_cell_angle_gamma 90.00
_space_group_name_H-M_alt 'P 1'
_space_group_IT_number 1
_space_group_name_Hall 'P 1'
loop_
_atom_site_label
_atom_site_type_symbol
_atom_site_fract_x
_atom_site_fract_y
_atom_site_fract_z
_atom_site_occupancy
Rb1 Rb 0.000 0.000 0.000 1
Rb2 Rb 0.443 0.685 0.654 1
Nb1 Nb 0.466 0.303 0.402 1
Nb2 Nb 0.979 0.377 0.252 1
Zn1 Zn 0.480 0.880 0.246 1
Zn2 Zn 0.965 0.800 0.408 1
```

---

The following is a PBE calculation of a relaxed RbNbZn crystal, from Alexandria.

Summary:
electronic total energy	-3.572	eV per atom

```
data_RbNbZn
_chemical_formula_sum 'Rb2 Nb2 Zn2'
_cell_length_a 5.014
_cell_length_b 4.674
_cell_length_c 9.598
_cell_angle_alpha 90.00
_cell_angle_beta 90.29
_cell_angle_gamma 90.00
_space_group_name_H-M_alt 'P 1 m 1'
_space_group_IT_number 6
_space_group_name_Hall 'P -2y'
loop_
_atom_site_label
_atom_site_type_symbol
_atom_site_fract_x
_atom_site_fract_y
_atom_site_fract_z
_atom_site_occupancy
Rb1 Rb 0.000 0.000 0.000 1
Rb2 Rb 0.497 0.500 0.647 1
Nb1 Nb 0.004 0.500 0.298 1
Nb2 Nb 0.505 0.500 0.275 1
Zn1 Zn 0.257 0.000 0.372 1
Zn2 Zn 0.754 0.000 0.373 1
```

---

The following is a PBE calculation of a relaxed RbNbZn crystal, from Alexandria.

Summary:
electronic total energy	-3.720	eV per atom

```
data_RbNbZn
_chemical_formula_sum 'Rb2 Nb2 Zn2'
_cell_length_a 3.861
_cell_length_b 3.863
_cell_length_c 13.546
_cell_angle_alpha 89.77
_cell_angle_beta 81.90
_cell_angle_gamma 89.99
_space_group_name_H-M_alt 'P 1'
_space_group_IT_number 1
_space_group_name_Hall 'P 1'
loop_
_atom_site_label
_atom_site_type_symbol
_atom_site_fract_x
_atom_site_fract_y
_atom_site_fract_z
_atom_site_occupancy
Rb1 Rb 0.000 0.000 0.000 1
Rb2 Rb 0.327 0.510 0.342 1
Nb1 Nb 0.133 0.512 0.739 1
Nb2 Nb 0.633 0.012 0.739 1
Zn1 Zn 0.209 0.014 0.584 1
Zn2 Zn 0.709 0.514 0.584 1
```

---

The following is a PBE calculation of a relaxed RbNb3Zn crystal, from Alexandria.

Summary:
electronic total energy	-4.761	eV per atom

```
data_RbNb3Zn
_chemical_formula_sum 'Rb1 Nb3 Zn1'
_cell_length_a 4.996
_cell_length_b 4.996
_cell_length_c 4.996
_cell_angle_alpha 90.00
_cell_angle_beta 90.00
_cell_angle_gamma 90.00
_space_group_name_H-M_alt 'P m -3 m'
_space_group_IT_number 221
_space_group_name_Hall '-P 4 2 3'
loop_
_atom_site_label
_atom_site_type_symbol
_atom_site_fract_x
_atom_site_fract_y
_atom_site_fract_z
_atom_site_occupancy
Rb1 Rb 0.000 0.000 0.000 1
Nb1 Nb 0.000 0.500 0.500 1
Zn1 Zn 0.500 0.500 0.500 1
```

---

The following is a PBE calculation of a relaxed RbNbZn crystal, from Alexandria.

Summary:
electronic total energy	-3.675	eV per atom

```
data_RbNbZn
_chemical_formula_sum 'Rb2 Nb2 Zn2'
_cell_length_a 4.241
_cell_length_b 3.443
_cell_length_c 13.325
_cell_angle_alpha 90.00
_cell_angle_beta 90.08
_cell_angle_gamma 90.00
_space_group_name_H-M_alt 'P 1 m 1'
_space_group_IT_number 6
_space_group_name_Hall 'P -2y'
loop_
_atom_site_label
_atom_site_type_symbol
_atom_site_fract_x
_atom_site_fract_y
_atom_site_fract_z
_atom_site_occupancy
Rb1 Rb 0.000 0.000 0.000 1
Rb2 Rb 0.497 0.500 0.349 1
Nb1 Nb 0.497 0.000 0.650 1
Nb2 Nb 0.997 0.500 0.699 1
Zn1 Zn 0.498 0.500 0.827 1
Zn2 Zn 0.996 0.000 0.522 1
```

---

The following is a PBE calculation of a relaxed RbNbZn3 crystal, from Alexandria.

Summary:
electronic total energy	-1.188	eV per atom

```
data_RbNbZn3
_chemical_formula_sum 'Rb1 Nb1 Zn3'
_cell_length_a 5.890
_cell_length_b 5.890
_cell_length_c 5.890
_cell_angle_alpha 90.00
_cell_angle_beta 90.00
_cell_angle_gamma 90.00
_space_group_name_H-M_alt 'P m -3 m'
_space_group_IT_number 221
_space_group_name_Hall '-P 4 2 3'
loop_
_atom_site_label
_atom_site_type_symbol
_atom_site_fract_x
_atom_site_fract_y
_atom_site_fract_z
_atom_site_occupancy
Rb1 Rb 0.000 0.000 0.000 1
Nb1 Nb 0.500 0.500 0.500 1
Zn1 Zn 0.000 0.000 0.500 1
```

---

The following is a PBE calculation of a relaxed RbNbZn crystal, from Alexandria.

Summary:
electronic total energy	-2.894	eV per atom

```
data_RbNbZn
_chemical_formula_sum 'Rb1 Nb1 Zn1'
_cell_length_a 4.4012
_cell_length_b 4.4012
_cell_length_c 6.1567
_cell_angle_alpha 90.00
_cell_angle_beta 90.00
_cell_angle_gamma 120.00
_space_group_name_H-M_alt 'P -6 m 2'
_space_group_IT_number 187
_space_group_name_Hall 'P -6 2'
loop_
_atom_site_label
_atom_site_type_symbol
_atom_site_fract_x
_atom_site_fract_y
_atom_site_fract_z
_atom_site_occupancy
Rb1 Rb 0.0000 0.0000 0.0000 1
Nb1 Nb 0.6667 0.3333 0.5000 1
Zn1 Zn 0.3333 0.6667 0.5000 1
```

---

The following is a PBE calculation of a relaxed RbNbZn crystal, from Alexandria.

Summary:
electronic total energy	-2.401	eV per atom

```
data_RbNbZn
_chemical_formula_sum 'Rb2 Nb2 Zn2'
_cell_length_a 5.9602
_cell_length_b 5.9602
_cell_length_c 10.8415
_cell_angle_alpha 90.00
_cell_angle_beta 90.00
_cell_angle_gamma 120.00
_space_group_name_H-M_alt 'P 63/m m c'
_space_group_IT_number 194
_space_group_name_Hall '-P 6c 2c'
loop_
_atom_site_label
_atom_site_type_symbol
_atom_site_fract_x
_atom_site_fract_y
_atom_site_fract_z
_atom_site_occupancy
Rb1 Rb 0.3333 0.6667 0.2500 1
Nb1 Nb 0.0000 0.0000 0.0000 1
Zn1 Zn 0.0000 0.0000 0.2500 1
```

---

The following is a PBE calculation of a relaxed RbNbZn crystal, from Alexandria.

Summary:
electronic total energy	-2.775	eV per atom

```
data_RbNbZn
_chemical_formula_sum 'Rb2 Nb2 Zn2'
_cell_length_a 5.2784
_cell_length_b 5.2784
_cell_length_c 5.8006
_cell_angle_alpha 90.00
_cell_angle_beta 90.00
_cell_angle_gamma 120.00
_space_group_name_H-M_alt 'P 63 m c'
_space_group_IT_number 186
_space_group_name_Hall 'P 6c -2c'
loop_
_atom_site_label
_atom_site_type_symbol
_atom_site_fract_x
_atom_site_fract_y
_atom_site_fract_z
_atom_site_occupancy
Rb1 Rb 0.0000 0.0000 0.0000 1
Nb1 Nb 0.3333 0.6667 0.1756 1
Zn1 Zn 0.3333 0.6667 0.6884 1
```

---

The following is a PBE calculation of a relaxed Rb2ZrNb crystal, from Alexandria.

Summary:
electronic total energy	-3.636	eV per atom

```
data_Rb2ZrNb
_chemical_formula_sum 'Rb8 Zr4 Nb4'
_cell_length_a 13.511
_cell_length_b 13.511
_cell_length_c 4.981
_cell_angle_alpha 90.00
_cell_angle_beta 90.00
_cell_angle_gamma 90.00
_space_group_name_H-M_alt 'I -4 2 d'
_space_group_IT_number 122
_space_group_name_Hall 'I -4 2bw'
loop_
_atom_site_label
_atom_site_type_symbol
_atom_site_fract_x
_atom_site_fract_y
_atom_site_fract_z
_atom_site_occupancy
Rb1 Rb 0.100 0.750 0.125 1
Zr1 Zr 0.000 0.000 0.500 1
Nb1 Nb 0.000 0.000 0.000 1
```

---

The following is a PBE calculation of a relaxed RbZr2Nb crystal, from Alexandria.

Summary:
electronic total energy	-5.538	eV per atom

```
data_RbZr2Nb
_chemical_formula_sum 'Rb4 Zr8 Nb4'
_cell_length_a 7.819
_cell_length_b 7.819
_cell_length_c 12.264
_cell_angle_alpha 90.00
_cell_angle_beta 90.00
_cell_angle_gamma 90.00
_space_group_name_H-M_alt 'I 41/a m d'
_space_group_IT_number 141
loop_
_space_group_symop_operation_xyz
'x,y,z'
'-x,-y,-z'
'-y+1/4,x+3/4,z+1/4'
'y+1/4,-x+3/4,-z+1/4'
'-x+1/2,-y,z+1/2'
'x+1/2,y,-z+1/2'
'y+1/4,-x+1/4,z+3/4'
'-y+1/4,x+1/4,-z+3/4'
'x,-y,-z'
'-x,y,z'
'-y+1/4,-x+1/4,-z+3/4'
'y+1/4,x+1/4,z+3/4'
'-x+1/2,y,-z+1/2'
'x+1/2,-y,z+1/2'
'y+1/4,x+3/4,-z+1/4'
'-y+1/4,-x+3/4,z+1/4'
'x+1/2,y+1/2,z+1/2'
'-x+1/2,-y+1/2,-z+1/2'
'-y+3/4,x+1/4,z+3/4'
'y+3/4,-x+1/4,-z+3/4'
'-x,-y+1/2,z'
'x,y+1/2,-z'
'y+3/4,-x+3/4,z+1/4'
'-y+3/4,x+3/4,-z+1/4'
'x+1/2,-y+1/2,-z+1/2'
'-x+1/2,y+1/2,z+1/2'
'-y+3/4,-x+3/4,-z+1/4'
'y+3/4,x+3/4,z+1/4'
'-x,y+1/2,-z'
'x,-y+1/2,z'
'y+3/4,x+1/4,-z+3/4'
'-y+3/4,-x+1/4,z+3/4'
loop_
_atom_site_label
_atom_site_type_symbol
_atom_site_fract_x
_atom_site_fract_y
_atom_site_fract_z
_atom_site_occupancy
Rb1 Rb 0.000 0.250 0.375 1
Zr1 Zr 0.000 0.000 0.000 1
Nb1 Nb 0.000 0.250 0.875 1
```

---

The following is a PBE calculation of a relaxed RbZr2Nb crystal, from Alexandria.

Summary:
electronic total energy	-5.865	eV per atom

```
data_RbZr2Nb
_chemical_formula_sum 'Rb4 Zr8 Nb4'
_cell_length_a 7.291
_cell_length_b 7.291
_cell_length_c 7.291
_cell_angle_alpha 90.00
_cell_angle_beta 90.00
_cell_angle_gamma 90.00
_space_group_name_H-M_alt 'F m -3 m'
_space_group_IT_number 225
_space_group_name_Hall '-F 4 2 3'
loop_
_atom_site_label
_atom_site_type_symbol
_atom_site_fract_x
_atom_site_fract_y
_atom_site_fract_z
_atom_site_occupancy
Rb1 Rb 0.000 0.000 0.000 1
Zr1 Zr 0.250 0.250 0.250 1
Nb1 Nb 0.000 0.000 0.500 1
```

---

The following is a PBE calculation of a relaxed Rb2ZrNb crystal, from Alexandria.

Summary:
electronic total energy	-3.121	eV per atom

```
data_Rb2ZrNb
_chemical_formula_sum 'Rb8 Zr4 Nb4'
_cell_length_a 8.386
_cell_length_b 8.386
_cell_length_c 8.386
_cell_angle_alpha 90.00
_cell_angle_beta 90.00
_cell_angle_gamma 90.00
_space_group_name_H-M_alt 'F m -3 m'
_space_group_IT_number 225
_space_group_name_Hall '-F 4 2 3'
loop_
_atom_site_label
_atom_site_type_symbol
_atom_site_fract_x
_atom_site_fract_y
_atom_site_fract_z
_atom_site_occupancy
Rb1 Rb 0.250 0.250 0.250 1
Zr1 Zr 0.000 0.000 0.000 1
Nb1 Nb 0.000 0.000 0.500 1
```

---

The following is a PBE calculation of a relaxed RbZrNb2 crystal, from Alexandria.

Summary:
electronic total energy	-5.886	eV per atom

```
data_RbZrNb2
_chemical_formula_sum 'Rb4 Zr4 Nb8'
_cell_length_a 7.168
_cell_length_b 7.168
_cell_length_c 7.168
_cell_angle_alpha 90.00
_cell_angle_beta 90.00
_cell_angle_gamma 90.00
_space_group_name_H-M_alt 'F m -3 m'
_space_group_IT_number 225
_space_group_name_Hall '-F 4 2 3'
loop_
_atom_site_label
_atom_site_type_symbol
_atom_site_fract_x
_atom_site_fract_y
_atom_site_fract_z
_atom_site_occupancy
Rb1 Rb 0.000 0.000 0.000 1
Zr1 Zr 0.000 0.000 0.500 1
Nb1 Nb 0.250 0.250 0.250 1
```

---

The following is a PBE calculation of a relaxed Rb3ZrNb crystal, from Alexandria.

Summary:
electronic total energy	-2.254	eV per atom

```
data_Rb3ZrNb
_chemical_formula_sum 'Rb3 Zr1 Nb1'
_cell_length_a 6.801
_cell_length_b 6.801
_cell_length_c 6.801
_cell_angle_alpha 90.00
_cell_angle_beta 90.00
_cell_angle_gamma 90.00
_space_group_name_H-M_alt 'P m -3 m'
_space_group_IT_number 221
_space_group_name_Hall '-P 4 2 3'
loop_
_atom_site_label
_atom_site_type_symbol
_atom_site_fract_x
_atom_site_fract_y
_atom_site_fract_z
_atom_site_occupancy
Rb1 Rb 0.000 0.000 0.500 1
Zr1 Zr 0.500 0.500 0.500 1
Nb1 Nb 0.000 0.000 0.000 1
```

---

The following is a PBE calculation of a relaxed RbZrNb2 crystal, from Alexandria.

Summary:
electronic total energy	-5.779	eV per atom

```
data_RbZrNb2
_chemical_formula_sum 'Rb4 Zr4 Nb8'
_cell_length_a 4.731
_cell_length_b 4.731
_cell_length_c 20.553
_cell_angle_alpha 90.00
_cell_angle_beta 90.00
_cell_angle_gamma 90.00
_space_group_name_H-M_alt 'I -4 2 d'
_space_group_IT_number 122
_space_group_name_Hall 'I -4 2bw'
loop_
_atom_site_label
_atom_site_type_symbol
_atom_site_fract_x
_atom_site_fract_y
_atom_site_fract_z
_atom_site_occupancy
Rb1 Rb 0.000 0.000 0.000 1
Zr1 Zr 0.000 0.000 0.500 1
Nb1 Nb 0.112 0.250 0.625 1
```

---

The following is a PBE calculation of a relaxed Nb5Re3 crystal, from Alexandria.

Summary:
electronic total energy	-11.217	eV per atom

```
data_Nb5Re3
_chemical_formula_sum 'Nb5 Re3'
_cell_length_a 3.214
_cell_length_b 3.214
_cell_length_c 13.087
_cell_angle_alpha 90.00
_cell_angle_beta 90.00
_cell_angle_gamma 90.00
_space_group_name_H-M_alt 'P 4/m m m'
_space_group_IT_number 123
_space_group_name_Hall '-P 4 2'
loop_
_atom_site_label
_atom_site_type_symbol
_atom_site_fract_x
_atom_site_fract_y
_atom_site_fract_z
_atom_site_occupancy
Nb1 Nb 0.000 0.000 0.000 1
Nb2 Nb 0.000 0.000 0.244 1
Nb3 Nb 0.500 0.500 0.378 1
Re1 Re 0.000 0.000 0.500 1
Re2 Re 0.500 0.500 0.124 1
```

---

The following is a PBE calculation of a relaxed Nb8Re crystal, from Alexandria.

Summary:
electronic total energy	-10.437	eV per atom

```
data_Nb8Re
_chemical_formula_sum 'Nb16 Re2'
_cell_length_a 9.878
_cell_length_b 9.878
_cell_length_c 3.272
_cell_angle_alpha 90.00
_cell_angle_beta 90.00
_cell_angle_gamma 90.00
_space_group_name_H-M_alt 'I 4/m m m'
_space_group_IT_number 139
_space_group_name_Hall '-I 4 2'
loop_
_atom_site_label
_atom_site_type_symbol
_atom_site_fract_x
_atom_site_fract_y
_atom_site_fract_z
_atom_site_occupancy
Nb1 Nb 0.000 0.332 0.000 1
Nb2 Nb 0.163 0.163 0.500 1
Re1 Re 0.000 0.000 0.000 1
```

---

The following is a PBE calculation of a relaxed NbRe4 crystal, from Alexandria.

Summary:
electronic total energy	-9.268	eV per atom

```
data_NbRe4
_chemical_formula_sum 'Nb1 Re4'
_cell_length_a 4.648
_cell_length_b 4.648
_cell_length_c 4.648
_cell_angle_alpha 90.00
_cell_angle_beta 90.00
_cell_angle_gamma 90.00
_space_group_name_H-M_alt 'P m -3 m'
_space_group_IT_number 221
_space_group_name_Hall '-P 4 2 3'
loop_
_atom_site_label
_atom_site_type_symbol
_atom_site_fract_x
_atom_site_fract_y
_atom_site_fract_z
_atom_site_occupancy
Nb1 Nb 0.000 0.000 0.000 1
Re1 Re 0.000 0.000 0.500 1
Re2 Re 0.500 0.500 0.500 1
```

---

The following is a PBE calculation of a relaxed NbRe crystal, from Alexandria.

Summary:
electronic total energy	-11.088	eV per atom

```
data_NbRe
_chemical_formula_sum 'Nb6 Re6'
_cell_length_a 8.9139
_cell_length_b 8.9139
_cell_length_c 3.1316
_cell_angle_alpha 90.00
_cell_angle_beta 90.00
_cell_angle_gamma 120.00
_space_group_name_H-M_alt 'P 63/m m c'
_space_group_IT_number 194
_space_group_name_Hall '-P 6c 2c'
loop_
_atom_site_label
_atom_site_type_symbol
_atom_site_fract_x
_atom_site_fract_y
_atom_site_fract_z
_atom_site_occupancy
Nb1 Nb 0.1633 0.3266 0.2500 1
Re1 Re 0.1299 0.5649 0.7500 1
```